# InPtRhAu, optimized geometry, DFT PBE
data_InPtRhAu
_cell_length_a 3.875
_cell_length_b 4.123
_cell_length_c 4.223
_cell_angle_alpha 90.00
_cell_angle_beta 90.00
_cell_angle_gamma 90.00
_space_group_name_H-M_alt 'P m m m'
_space_group_IT_number 47
loop_
_space_group_symop_operation_xyz
'x,y,z'
'-x,-y,-z'
'-x,-y,z'
'x,y,-z'
'x,-y,-z'
'-x,y,z'
'-x,y,-z'
'x,-y,z'
loop_
_atom_site_label
_atom_site_type_symbol
_atom_site_fract_x
_atom_site_fract_y
_atom_site_fract_z
In1 In 0.000 0.000 0.000
Pt1 Pt 0.500 0.000 0.500
Rh1 Rh 0.500 0.500 0.000
Au1 Au 0.000 0.500 0.500
# ΔH_f (0 K): -228 meV/atom
# Theoretical density: 15.009 g/cm3